Entry 1:
First-principles (PBE) data for InTcOs2 after structural relaxation, as listed in Alexandria via LeMat-Bulk.

POSCAR file:
```
InTcOs2
1.0
1.4356 -2.4131 0.0000
1.4356 2.4131 0.0000
0.0000 0.0000 9.3311
In Tc Os
1 1 2
Direct
0.0000 0.0000 0.0000 In
0.0000 0.0000 0.5000 Tc
0.5000 0.5000 0.2651 Os
0.5000 0.5000 0.7349 Os
```

Computed properties:
energy of formation: 0.662 eV per atom
M_tot: 0.0 Bohr magnetons per cell
VASP energy: -32.914 eV/f.u.

***

Entry 2:
First-principles (PBE) data for Si6As2H36C12O3 after structural relaxation, as listed in Alexandria via LeMat-Bulk.

POSCAR file:
```
Si6As2H36C12O3
1.0
0.0000 33.9606 4.9323
8.7228 0.0000 4.9323
8.7228 33.9606 0.0000
Si As H C O
24 8 144 48 12
Direct
0.0169 0.2196 0.6544 Si
0.0460 0.3036 0.5330 Si
0.1327 0.7170 0.9464 Si
0.1409 0.5956 0.0304 Si
0.2196 0.0169 0.1091 Si
0.2461 0.6377 0.4364 Si
0.2762 0.7238 0.3142 Si
0.3036 0.0460 0.1173 Si
0.3525 0.5297 0.7157 Si
0.3593 0.4062 0.8011 Si
0.4062 0.3593 0.4334 Si
0.4489 0.8166 0.8907 Si
0.5297 0.3525 0.4021 Si
0.5343 0.8479 0.8975 Si
0.5642 0.9358 0.5262 Si
0.5702 0.8136 0.6123 Si
0.5956 0.1409 0.2331 Si
0.6377 0.2461 0.6798 Si
0.7170 0.1327 0.2040 Si
0.7238 0.2762 0.6858 Si
0.8136 0.5702 0.0039 Si
0.8166 0.4489 0.8438 Si
0.8479 0.5343 0.7203 Si
0.9358 0.5642 0.9738 Si
0.0158 0.4070 0.6870 As
0.0674 0.5490 0.4805 As
0.3469 0.7695 0.7010 As
0.3598 0.5630 0.8430 As
0.4070 0.0158 0.8902 As
0.5490 0.0674 0.9031 As
0.5630 0.3598 0.2342 As
0.7695 0.3469 0.1826 As
0.0037 0.7702 0.3001 H
0.0080 0.7183 0.1820 H
0.0141 0.4197 0.3992 H
0.0271 0.8388 0.3989 H
0.0668 0.8986 0.9621 H
0.0680 0.1583 0.2420 H
0.0718 0.4391 0.8197 H
0.0725 0.6211 0.1598 H
0.0759 0.7292 0.2776 H
0.0830 0.8508 0.8303 H
0.0864 0.3697 0.9452 H
0.0856 0.6505 0.7234 H
0.0859 0.7440 0.8750 H
0.0902 0.1033 0.1775 H
0.0955 0.1778 0.0783 H
0.1033 0.0902 0.6289 H
0.1202 0.2098 0.7236 H
0.1435 0.7532 0.2813 H
0.1507 0.8180 0.3182 H
0.1573 0.2494 0.6367 H
0.1583 0.0680 0.5317 H
0.1664 0.5269 0.7693 H
0.1692 0.1902 0.2569 H
0.1717 0.6016 0.1545 H
0.1778 0.0955 0.6484 H
0.1776 0.2879 0.3514 H
0.1844 0.8202 0.5201 H
0.1902 0.1692 0.3838 H
0.1930 0.6468 0.6964 H
0.1952 0.9979 0.8741 H
0.1995 0.2727 0.8427 H
0.2083 0.8092 0.0026 H
0.2098 0.1202 0.9465 H
0.2273 0.9488 0.3338 H
0.2401 0.4307 0.7633 H
0.2474 0.2701 0.0417 H
0.2494 0.1573 0.9566 H
0.2701 0.2474 0.4408 H
0.2727 0.1995 0.6851 H
0.2879 0.1776 0.1832 H
0.2934 0.6133 0.0006 H
0.2988 0.7603 0.4436 H
0.3035 0.5264 0.0402 H
0.3048 0.6513 0.1636 H
0.3172 0.3759 0.2521 H
0.3240 0.9499 0.4798 H
0.3327 0.9724 0.5208 H
0.3452 0.5594 0.5042 H
0.3697 0.0864 0.5987 H
0.3750 0.9548 0.1641 H
0.3759 0.3172 0.0548 H
0.3890 0.9054 0.3138 H
0.3980 0.5957 0.4034 H
0.4054 0.5140 0.2737 H
0.4060 0.8572 0.4370 H
0.4073 0.5649 0.0505 H
0.4197 0.0141 0.1670 H
0.4269 0.5538 0.3007 H
0.4280 0.9687 0.4968 H
0.4303 0.5806 0.1782 H
0.4307 0.2401 0.5660 H
0.4391 0.0718 0.6694 H
0.4431 0.9763 0.7360 H
0.4536 0.5535 0.4770 H
0.4807 0.7126 0.0836 H
0.4867 0.6840 0.0099 H
0.5140 0.4054 0.8069 H
0.5148 0.8511 0.4112 H
0.5264 0.3035 0.1298 H
0.5269 0.1664 0.5374 H
0.5266 0.7096 0.1644 H
0.5314 0.9493 0.6962 H
0.5368 0.9318 0.4320 H
0.5465 0.6496 0.2962 H
0.5538 0.4269 0.7186 H
0.5535 0.4536 0.5159 H
0.5536 0.7861 0.0570 H
0.5594 0.3452 0.5913 H
0.5649 0.4073 0.9773 H
0.5806 0.4303 0.8109 H
0.5849 0.6217 0.4495 H
0.5957 0.3980 0.6029 H
0.6016 0.1717 0.0722 H
0.6133 0.2934 0.0927 H
0.6211 0.0725 0.1467 H
0.6217 0.5849 0.3439 H
0.6418 0.6442 0.2727 H
0.6442 0.6418 0.4413 H
0.6468 0.1930 0.4639 H
0.6471 0.8466 0.6543 H
0.6505 0.0856 0.5404 H
0.6496 0.5465 0.5078 H
0.6513 0.3048 0.8803 H
0.6587 0.7458 0.6906 H
0.6840 0.4867 0.8193 H
0.7096 0.5266 0.5995 H
0.7126 0.4807 0.7231 H
0.7183 0.0080 0.0917 H
0.7292 0.0759 0.9173 H
0.7299 0.7746 0.0656 H
0.7341 0.7730 0.6965 H
0.7422 0.9538 0.6004 H
0.7440 0.0859 0.2952 H
0.7458 0.6587 0.9048 H
0.7532 0.1435 0.8220 H
0.7527 0.8064 0.4897 H
0.7603 0.2988 0.4973 H
0.7598 0.9162 0.3012 H
0.7702 0.0037 0.9260 H
0.7730 0.7341 0.7964 H
0.7746 0.7299 0.4298 H
0.7861 0.5536 0.6032 H
0.8005 0.9061 0.6651 H
0.8064 0.7527 0.9512 H
0.8092 0.2083 0.9799 H
0.8087 0.9773 0.6058 H
0.8130 0.9503 0.8440 H
0.8180 0.1507 0.7132 H
0.8202 0.1844 0.4754 H
0.8388 0.0271 0.7352 H
0.8466 0.6471 0.8520 H
0.8508 0.0830 0.2359 H
0.8511 0.5148 0.2229 H
0.8572 0.4060 0.2997 H
0.8581 0.9362 0.3446 H
0.8662 0.9931 0.0598 H
0.8986 0.0668 0.0724 H
0.9054 0.3890 0.3919 H
0.9061 0.8005 0.6283 H
0.9162 0.7598 0.0227 H
0.9318 0.5368 0.0993 H
0.9362 0.8581 0.8610 H
0.9488 0.2273 0.4902 H
0.9493 0.5314 0.8231 H
0.9499 0.3240 0.2463 H
0.9503 0.8130 0.3928 H
0.9538 0.7422 0.7035 H
0.9548 0.3750 0.5060 H
0.9687 0.4280 0.1065 H
0.9724 0.3327 0.1741 H
0.9763 0.4431 0.8446 H
0.9773 0.8087 0.6082 H
0.9931 0.8662 0.0808 H
0.9979 0.1952 0.9328 H
0.0113 0.7463 0.9215 C
0.0465 0.8125 0.2863 C
0.0940 0.8862 0.9672 C
0.1054 0.6964 0.0988 C
0.1074 0.5411 0.7986 C
0.1417 0.8452 0.2949 C
0.1512 0.1505 0.1446 C
0.1505 0.1512 0.5536 C
0.1960 0.2144 0.6284 C
0.1974 0.2828 0.3638 C
0.2050 0.3875 0.8282 C
0.2144 0.1960 0.9612 C
0.2823 0.7956 0.4282 C
0.2828 0.1974 0.1560 C
0.2888 0.6216 0.0356 C
0.3285 0.9292 0.2387 C
0.3875 0.2050 0.5793 C
0.3954 0.9637 0.4375 C
0.4165 0.5996 0.2797 C
0.4218 0.6707 0.0450 C
0.4270 0.5605 0.4057 C
0.4514 0.6971 0.1426 C
0.5318 0.9551 0.4048 C
0.5411 0.1074 0.5529 C
0.5459 0.9703 0.6504 C
0.5531 0.5658 0.5110 C
0.5605 0.4270 0.6069 C
0.5658 0.5531 0.3701 C
0.5996 0.4165 0.7041 C
0.6216 0.2888 0.0540 C
0.6431 0.8443 0.6895 C
0.6707 0.4218 0.8625 C
0.6964 0.1054 0.0995 C
0.6971 0.4514 0.7089 C
0.7390 0.8799 0.6969 C
0.7463 0.0113 0.3208 C
0.7561 0.8218 0.4544 C
0.7956 0.2823 0.4939 C
0.8125 0.0465 0.8546 C
0.8218 0.7561 0.9677 C
0.8443 0.6431 0.8230 C
0.8452 0.1417 0.7182 C
0.8799 0.7390 0.6842 C
0.8862 0.0940 0.0526 C
0.9292 0.3285 0.5037 C
0.9551 0.5318 0.1083 C
0.9637 0.3954 0.2035 C
0.9703 0.5459 0.8335 C
0.0825 0.2891 0.5453 O
0.1670 0.7047 0.9609 O
0.2316 0.7040 0.4034 O
0.2891 0.0825 0.0830 O
0.3052 0.4475 0.8080 O
0.4420 0.8107 0.9448 O
0.4475 0.3052 0.4393 O
0.5889 0.8466 0.5460 O
0.7040 0.2316 0.6611 O
0.7047 0.1670 0.1675 O
0.8107 0.4420 0.8025 O
0.8466 0.5889 0.0184 O
```

Computed properties:
M_tot: 0.0 Bohr magnetons per cell
VASP energy: -312.785 eV/f.u.

***

Entry 3:
First-principles (PBE) data for NbV2Mo6 after structural relaxation, as listed in Alexandria via LeMat-Bulk.

POSCAR file:
```
NbV2Mo6
1.0
7.8849 0.0000 0.0000
0.0000 8.0023 0.0000
0.0000 0.0000 4.4898
Nb V Mo
2 4 12
Direct
0.0000 0.0000 0.0000 Nb
0.5000 0.5000 0.5000 Nb
0.1644 0.2377 0.5000 V
0.3356 0.7377 0.0000 V
0.6644 0.2623 0.0000 V
0.8356 0.7623 0.5000 V
0.0027 0.6653 0.0000 Mo
0.1627 0.5702 0.5000 Mo
0.1690 0.9014 0.5000 Mo
0.3310 0.4014 0.0000 Mo
0.3373 0.0703 0.0000 Mo
0.4973 0.1653 0.5000 Mo
0.5027 0.8347 0.5000 Mo
0.6627 0.9298 0.0000 Mo
0.6690 0.5986 0.0000 Mo
0.8310 0.0986 0.5000 Mo
0.8373 0.4298 0.5000 Mo
0.9973 0.3347 0.0000 Mo
```

Computed properties:
energy of formation: 0.046 eV per atom
E above lowest polymorph: 135 meV per atom
M_tot: 0.0 Bohr magnetons per cell
VASP energy: -92.883 eV/f.u.

***

Entry 4:
First-principles (PBE) data for Ti6BeGa2 after structural relaxation, as listed in Alexandria via LeMat-Bulk.

POSCAR file:
```
Ti6BeGa2
1.0
-2.1064 2.9869 6.3500
2.1064 -2.9869 6.3500
2.1064 2.9869 -6.3500
Ti Be Ga
6 1 2
Direct
0.0810 0.3412 0.7398 Ti
0.2337 0.0000 0.2337 Ti
0.3986 0.6588 0.7398 Ti
0.6014 0.3412 0.2602 Ti
0.7663 0.0000 0.7663 Ti
0.9190 0.6588 0.2602 Ti
0.0000 0.5000 0.5000 Be
0.3333 0.8333 0.5000 Ga
0.6667 0.1667 0.5000 Ga
```

Computed properties:
energy of formation: 0.124 eV per atom
M_tot: 0.0 Bohr magnetons per cell
VASP energy: -56.033 eV/f.u.

***

Entry 5:
First-principles (PBE) data for Nd4PtRh after structural relaxation, as listed in Alexandria via LeMat-Bulk.

POSCAR file:
```
Nd4PtRh
1.0
7.0746 0.0000 0.0000
0.0000 7.0746 0.0000
0.0000 0.0000 6.6076
Nd Pt Rh
8 2 2
Direct
0.1812 0.3145 0.0000 Nd
0.1812 0.6855 0.5000 Nd
0.3145 0.1812 0.5000 Nd
0.3145 0.8188 0.0000 Nd
0.6855 0.1812 0.0000 Nd
0.6855 0.8188 0.5000 Nd
0.8188 0.3145 0.5000 Nd
0.8188 0.6855 0.0000 Nd
0.5000 0.5000 0.2500 Pt
0.5000 0.5000 0.7500 Pt
0.0000 0.0000 0.2500 Rh
0.0000 0.0000 0.7500 Rh
```

Computed properties:
energy of formation: -0.606 eV per atom
E above lowest polymorph: 0 meV per atom
M_tot: 0.0 Bohr magnetons per cell
VASP energy: -36.101 eV/f.u.

***

Entry 6:
First-principles (PBE) data for ZnNi2W2 after structural relaxation, as listed in Alexandria via LeMat-Bulk.

POSCAR file:
```
ZnNi2W2
1.0
-1.8500 1.8500 5.6508
1.8500 -1.8500 5.6508
1.8500 1.8500 -5.6508
Zn Ni W
1 2 2
Direct
0.0000 0.0000 0.0000 Zn
0.4037 0.4037 0.0000 Ni
0.5963 0.5963 0.0000 Ni
0.2500 0.7500 0.5000 W
0.7500 0.2500 0.5000 W
```

Computed properties:
energy of formation: 0.506 eV per atom
E above lowest polymorph: 226 meV per atom
M_tot: 0.0 Bohr magnetons per cell
VASP energy: -36.213 eV/f.u.